Entry 1:
First-principles (PBE-GGA) data for crystalline Tm3Tl3ZnTe8 at its relaxed geometry, as listed in Alexandria.

Properties
- calculated volume (Å³ per cell) = 527
- total magnetic moment (μB per formula unit) = 0.0
- formation energy without anion corrections (eV per atom) = -0.75
- space group = C2/m, No. 12
- crystal system = monoclinic

abc: 8.617 8.626 9.594
angles: 116.79 90.00 119.98
Fractional positions:
Tm 0.500 0.000 0.500
Tm 0.500 0.500 0.500
Tm 0.000 0.500 0.500
Tl 0.000 0.000 0.000
Tl 0.000 0.500 0.000
Tl 0.500 0.500 0.000
Zn 0.000 0.000 0.500
Te 0.262 0.523 0.285
Te 0.738 0.477 0.715
Te 0.772 0.544 0.297
Te 0.228 0.456 0.703
Te 0.770 0.025 0.295
Te 0.230 0.975 0.705
Te 0.256 0.025 0.295
Te 0.744 0.975 0.705

=====

Entry 2:
First-principles (PBE-GGA) data for crystalline Cu2SbAu at its relaxed geometry, as listed in Alexandria.

Properties
- calculated volume (Å³ per cell) = 71
- total magnetic moment (μB per formula unit) = 0.0
- formation energy without anion corrections (eV per atom) = 0.08
- space group = R3m, No. 160
- crystal system = trigonal

abc: 5.203 5.203 5.203
angles: 48.06 48.06 48.06
Fractional positions:
Au 0.731 0.731 0.731
Cu 0.938 0.938 0.938
Cu 0.312 0.312 0.312
Sb 0.518 0.518 0.518